(1)
First-principles (PBE) data for crystalline HfScPd4 at its relaxed geometry, as listed in Alexandria via LeMat-Bulk.

a = 9.551 Å, b = 3.451 Å, c = 6.676 Å
α = 90.00°, β = 110.72°, γ = 90.00°
Space group C2/m (No. 12)
Unique sites:
Hf 0.000 0.000 0.000 (multiplicity 2)
Sc 0.000 0.000 0.500 (multiplicity 2)
Pd 0.160 0.500 0.327 (multiplicity 4)
Pd 0.160 0.500 0.834 (multiplicity 4)

size of the total moment = 0.00 μB per cell
DFT formation energy = -0.7998 eV per atom
raw total energy = -6.98 eV/atom



(2)
First-principles (PBE) data for crystalline Ba2SiRhSe at its relaxed geometry, as listed in Alexandria via LeMat-Bulk.

a = 6.008 Å, b = 6.008 Å, c = 4.530 Å
α = 90.00°, β = 90.00°, γ = 90.00°
Space group P4/mmm (No. 123)
Unique sites:
Ba 0.000 0.500 0.000 (multiplicity 2)
Si 0.000 0.000 0.500 (multiplicity 1)
Rh 0.000 0.000 0.000 (multiplicity 1)
Se 0.500 0.500 0.500 (multiplicity 1)

ΔE_f (raw) = -0.7939 eV/atom
size of the total moment = 0.00 μB per cell
raw total energy = -4.81 eV/atom



(3)
First-principles (PBE) data for crystalline HgAs2SeF at its relaxed geometry, as listed in Alexandria via LeMat-Bulk.

a = 5.240 Å, b = 5.240 Å, c = 5.201 Å
α = 90.00°, β = 90.00°, γ = 90.00°
Space group P4/mmm (No. 123)
Unique sites:
Hg 0.000 0.000 0.000 (multiplicity 1)
As 0.000 0.500 0.000 (multiplicity 2)
Se 0.000 0.000 0.500 (multiplicity 1)
F 0.500 0.500 0.500 (multiplicity 1)

ΔE_f (raw) = 0.8335 eV/atom
size of the total moment = 0.30 μB per cell
raw total energy = -2.16 eV/atom



(4)
First-principles (PBE) data for crystalline KLiCd2Hg4 at its relaxed geometry, as listed in Alexandria via LeMat-Bulk.

a = 5.0241 Å, b = 5.0241 Å, c = 28.7221 Å
α = 90.00°, β = 90.00°, γ = 120.00°
Space group R-3m (No. 166, hexagonal axes)
Unique sites:
K 0.0000 0.0000 0.0000 (multiplicity 3)
Li 0.0000 0.0000 0.5000 (multiplicity 3)
Cd 0.0000 0.0000 0.2411 (multiplicity 6)
Hg 0.0000 0.0000 0.1346 (multiplicity 6)
Hg 0.0000 0.0000 0.3986 (multiplicity 6)

size of the total moment = 0.00 μB per cell
DFT formation energy = -0.1715 eV per atom
raw total energy = -0.93 eV/atom



(5)
First-principles (PBE) data for crystalline Cs4TaAg2 at its relaxed geometry, as listed in Alexandria via LeMat-Bulk.

a = 6.229 Å, b = 6.229 Å, c = 20.197 Å
α = 90.00°, β = 90.00°, γ = 90.00°
Space group I4/mmm (No. 139)
Unique sites:
Cs 0.000 0.000 0.180 (multiplicity 4)
Cs 0.000 0.500 0.000 (multiplicity 4)
Ta 0.000 0.000 0.000 (multiplicity 2)
Ag 0.000 0.000 0.366 (multiplicity 4)

size of the total moment = 0.00 μB per cell
DFT formation energy = 1.1070 eV per atom
raw total energy = -1.89 eV/atom



(6)
First-principles (PBE) data for crystalline Tb4Pm9Pr11 at its relaxed geometry, as listed in Alexandria via LeMat-Bulk.

a = 17.250 Å, b = 26.371 Å, c = 3.717 Å
α = 90.00°, β = 90.00°, γ = 90.00°
Space group Cmmm (No. 65)
Unique sites:
Tb 0.159 0.101 0.000 (multiplicity 8)
Pm 0.000 0.000 0.000 (multiplicity 2)
Pm 0.103 0.231 0.000 (multiplicity 8)
Pm 0.138 0.426 0.000 (multiplicity 8)
Pr 0.000 0.130 0.500 (multiplicity 4)
Pr 0.000 0.337 0.500 (multiplicity 4)
Pr 0.000 0.500 0.500 (multiplicity 2)
Pr 0.210 0.000 0.500 (multiplicity 4)
Pr 0.222 0.319 0.500 (multiplicity 8)

size of the total moment = 0.00 μB per cell
DFT formation energy = 0.0562 eV per atom
raw total energy = -4.69 eV/atom



(7)
First-principles (PBE) data for crystalline PaRhN at its relaxed geometry, as listed in Alexandria via LeMat-Bulk.

a = 4.054 Å, b = 4.054 Å, c = 6.437 Å
α = 90.00°, β = 90.00°, γ = 90.00°
Space group I4mm (No. 107)
Unique sites:
Pa 0.000 0.000 0.000 (multiplicity 2)
Rh 0.000 0.000 0.373 (multiplicity 2)
N 0.000 0.000 0.690 (multiplicity 2)

ΔE_f (raw) = -0.3505 eV/atom
size of the total moment = 0.00 μB per cell
raw total energy = -8.74 eV/atom



(8)
First-principles (PBE) data for crystalline LaAlCo2 at its relaxed geometry, as listed in Alexandria via LeMat-Bulk.

a = 6.610 Å, b = 6.610 Å, c = 6.610 Å
α = 90.00°, β = 90.00°, γ = 90.00°
Space group F-43m (No. 216)
Unique sites:
La 0.000 0.000 0.000 (multiplicity 4)
Al 0.250 0.250 0.250 (multiplicity 4)
Co 0.000 0.000 0.500 (multiplicity 4)
Co 0.250 0.250 0.750 (multiplicity 4)

size of the total moment = 12.99 μB per cell
DFT formation energy = 0.2997 eV per atom
raw total energy = -5.42 eV/atom